1.
The following is a PBE calculation of crystalline La2HfCdN at its relaxed geometry, from Alexandria via LeMat-Bulk.

Calculated values
The uncorrected formation energy comes out at -0.677 eV/atom.

a b c (Å): 5.3484 5.3484 4.2791
angles (deg): 90.00 90.00 90.00
Last column: nearest neighbours and their distance in Å.
Space group P4/mmm (No. 123)
Inequivalent atoms, fractional coordinates:
La 0.0000 0.5000 0.0000  2 N 2.67
Hf 0.0000 0.0000 0.5000  2 N 2.14
Cd 0.5000 0.5000 0.5000  8 La 3.42, 4 Hf 3.78
N 0.0000 0.0000 0.0000  2 Hf 2.14

2.
The following is a PBE calculation of crystalline LaHf2CdN at its relaxed geometry, from Alexandria via LeMat-Bulk.

Calculated values
The uncorrected formation energy comes out at 1.453 eV/atom.

a b c (Å): 5.6078 5.6078 4.0835
angles (deg): 90.00 90.00 90.00
Last column: nearest neighbours and their distance in Å.
Space group P4/mmm (No. 123)
Inequivalent atoms, fractional coordinates:
La 0.0000 0.0000 0.0000  2 N 2.04
Hf 0.0000 0.5000 0.0000  2 La 2.80
Cd 0.5000 0.5000 0.5000  8 Hf 3.47
N 0.0000 0.0000 0.5000  2 La 2.04

3.
The following is a PBE calculation of crystalline LaHfCd2Ni at its relaxed geometry, from Alexandria via LeMat-Bulk.

Calculated values
Its formation energy is 2.0 eV per formula unit.

a b c (Å): 5.4733 5.4733 4.5975
angles (deg): 90.00 90.00 90.00
Last column: nearest neighbours and their distance in Å.
Space group P4/mmm (No. 123)
Inequivalent atoms, fractional coordinates:
La 0.0000 0.0000 0.0000  8 Cd 3.57, 4 Ni 3.87
Hf 0.5000 0.5000 0.5000  2 Ni 2.30
Cd 0.0000 0.5000 0.5000  2 Hf 2.74
Ni 0.5000 0.5000 0.0000  2 Hf 2.30

4.
The following is a PBE calculation of crystalline La2HfCdPt at its relaxed geometry, from Alexandria via LeMat-Bulk.

Calculated values
Its formation energy is -0.8 eV per formula unit.

a b c (Å): 5.7256 5.7256 5.0918
angles (deg): 90.00 90.00 90.00
Last column: nearest neighbours and their distance in Å.
Space group P4/mmm (No. 123)
Inequivalent atoms, fractional coordinates:
La 0.0000 0.5000 0.0000  2 Pt 2.86
Hf 0.0000 0.0000 0.5000  2 Pt 2.55
Cd 0.5000 0.5000 0.5000  8 La 3.83, 4 Hf 4.05
Pt 0.0000 0.0000 0.0000  2 Hf 2.55

5.
The following is a PBE calculation of crystalline LaHf2CdPt at its relaxed geometry, from Alexandria via LeMat-Bulk.

Calculated values
Its formation energy is 4.0 eV per formula unit.

a b c (Å): 5.2279 5.2279 5.0460
angles (deg): 90.00 90.00 90.00
Last column: nearest neighbours and their distance in Å.
Space group P4/mmm (No. 123)
Inequivalent atoms, fractional coordinates:
La 0.0000 0.0000 0.0000  8 Hf 3.63, 4 Pt 3.70
Hf 0.0000 0.5000 0.5000  2 Cd 2.61
Cd 0.5000 0.5000 0.5000  2 Pt 2.52, 4 Hf 2.61
Pt 0.5000 0.5000 0.0000  2 Cd 2.52

6.
The following is a PBE calculation of crystalline LaHfCdS2 at its relaxed geometry, from Alexandria via LeMat-Bulk.

Calculated values
The uncorrected formation energy comes out at 0.472 eV/atom.

a b c (Å): 5.3838 5.3838 6.3155
angles (deg): 90.00 90.00 90.00
Last column: nearest neighbours and their distance in Å.
Space group P4/mmm (No. 123)
Inequivalent atoms, fractional coordinates:
La 0.0000 0.0000 0.0000  4 S 2.69
Hf 0.0000 0.0000 0.5000  2 La 3.16
Cd 0.5000 0.5000 0.5000  4 Hf 3.81, 8 S 4.15
S 0.0000 0.5000 0.0000  2 La 2.69

7.
The following is a PBE calculation of crystalline LaHf2TaCd at its relaxed geometry, from Alexandria via LeMat-Bulk.

Calculated values
Its formation energy is 3.2 eV per formula unit.

a b c (Å): 5.0826 5.0826 5.5534
angles (deg): 90.00 90.00 90.00
Last column: nearest neighbours and their distance in Å.
Space group P4/mmm (No. 123)
Inequivalent atoms, fractional coordinates:
La 0.0000 0.0000 0.0000  4 Cd 3.59, 8 Hf 3.76
Hf 0.0000 0.5000 0.5000  2 Ta 2.54
Ta 0.5000 0.5000 0.5000  4 Hf 2.54, 2 Cd 2.78
Cd 0.5000 0.5000 0.0000  2 Ta 2.78

8.
The following is a PBE calculation of crystalline LiHfCd3 at its relaxed geometry, from Alexandria via LeMat-Bulk.

Calculated values
Its formation energy is 1.6 eV per formula unit.

a b c (Å): 4.6409 4.6409 4.6409
angles (deg): 90.00 90.00 90.00
Last column: nearest neighbours and their distance in Å.
Space group Pm-3m (No. 221)
Inequivalent atoms, fractional coordinates:
Li 0.0000 0.0000 0.0000  6 Cd 2.32
Hf 0.5000 0.5000 0.5000  12 Cd 3.28
Cd 0.0000 0.0000 0.5000  2 Li 2.32

> What is the formula in the seventh record?

LaHf2TaCd